No. 1
The following is a DFT calculation (PBE-GGA) of a relaxed CrAs2Pb crystal.

Values from the calculation:
Space group   R3m, No. 160
Energy   -22.39 eV for the cell shown

Unit cell a=3.216 b=3.216 c=9.358 alpha=80.11 beta=80.11 gamma=60.00
Atoms (fractional coordinates):
Pb1 0.499 0.499 0.504
As1 0.275 0.275 0.176
Cr1 0.667 0.667 0.998
As2 0.059 0.059 0.822


No. 2
The following is a DFT calculation (PBE-GGA) of a relaxed Li2BeTl2 crystal.

Values from the calculation:
Space group   P4/mbm, No. 127
Energy   -23.04 eV for the cell shown

Unit cell a=6.741 b=6.741 c=4.549 alpha=90.00 beta=90.00 gamma=90.00
Atoms (fractional coordinates):
Tl1 0.163 0.337 0.000
Li1 0.845 0.345 0.500
Li2 0.655 0.845 0.500
Tl2 0.663 0.163 0.000
Li3 0.155 0.655 0.500
Tl3 0.337 0.837 0.000
Be1 0.000 0.000 0.000
Tl4 0.837 0.663 0.000
Be2 0.500 0.500 0.000
Li4 0.345 0.155 0.500


No. 3
The following is a DFT calculation (PBE-GGA) of a relaxed La6Tb12Tl crystal.

Values from the calculation:
Space group   R-3, No. 148
Energy   -86.15 eV for the cell shown

Unit cell a=8.589 b=8.589 c=8.589 alpha=89.42 beta=89.42 gamma=89.42
Atoms (fractional coordinates):
Tb1 0.179 0.361 0.018
Tb2 0.535 0.437 0.779
La1 0.303 0.735 0.907
Tb3 0.821 0.639 0.982
La2 0.907 0.303 0.735
Tb4 0.465 0.563 0.221
Tb5 0.361 0.018 0.179
La3 0.093 0.697 0.265
Tb6 0.018 0.179 0.361
Tl1 0.000 0.000 0.000
Tb7 0.437 0.779 0.535
Tb8 0.982 0.821 0.639
La4 0.735 0.907 0.303
Tb9 0.779 0.535 0.437
La5 0.697 0.265 0.093
Tb10 0.221 0.465 0.563
Tb11 0.563 0.221 0.465
Tb12 0.639 0.982 0.821
La6 0.265 0.093 0.697


No. 4
The following is a DFT calculation (PBE-GGA) of a relaxed BaTcPt crystal.

Values from the calculation:
Space group   F-43m, No. 216
Energy relative to the lowest polymorph listed for this composition   1290 meV/atom
Energy   -14.06 eV for the cell shown

Unit cell a=4.879 b=4.879 c=4.879 alpha=60.00 beta=60.00 gamma=60.00
Site moments in Bohr magnetons follow the coordinates.
Atoms (fractional coordinates):
Ba1 0.750 0.750 0.750  -0.01
Pt1 0.000 0.000 0.000  0.10
Tc1 0.500 0.500 0.500  2.55


No. 5
The following is a DFT calculation (PBE-GGA) of a relaxed Ca4BeTl crystal.

Values from the calculation:
Space group   F-43m, No. 216
Energy   -10.34 eV for the cell shown

Unit cell a=6.688 b=6.688 c=6.688 alpha=60.00 beta=60.00 gamma=60.00
Atoms (fractional coordinates):
Ca1 0.875 0.375 0.375
Ca2 0.375 0.375 0.375
Be1 0.000 0.000 0.000
Ca3 0.375 0.375 0.875
Ca4 0.375 0.875 0.375
Tl1 0.750 0.750 0.750